(1)
# BaTcPb3

Crystalline BaTcPb3 at its relaxed geometry (PBE, the Alexandria database).

energy of formation from the pure elements: 109 meV per atom

Cell: 5.424 5.424 5.424 Å, 90.00 90.00 90.00°
Space group Pm-3m (No. 221)
Asymmetric unit:
Ba  0.000  0.000  0.000 (multiplicity 1)
Tc  0.500  0.500  0.500 (multiplicity 1)
Pb  0.000  0.500  0.500 (multiplicity 3)

(2)
# Pr4Mg2Al

Crystalline Pr4Mg2Al at its relaxed geometry (PBE, the Alexandria database).

energy of formation from the pure elements: -23 meV per atom

Cell: 7.634 7.634 7.685 Å, 90.00 90.00 90.00°
Space group I4/mmm (No. 139)
Asymmetric unit:
Pr  0.250  0.250  0.250 (multiplicity 8)
Mg  0.000  0.500  0.000 (multiplicity 4)
Al  0.000  0.000  0.000 (multiplicity 2)

(3)
# CrMo2Rh

Crystalline CrMo2Rh at its relaxed geometry (PBE, the Alexandria database).

energy of formation from the pure elements: 113 meV per atom

Cell: 5.489 7.793 2.709 Å, 90.00 90.00 90.00°
Space group Cmmm (No. 65)
Asymmetric unit:
Cr  0.000  0.000  0.000 (multiplicity 2)
Mo  0.250  0.250  0.500 (multiplicity 4)
Rh  0.000  0.500  0.000 (multiplicity 2)

(4)
# TcSbH2

Crystalline TcSbH2 at its relaxed geometry (PBE, the Alexandria database).

raw total energy: -5.04 eV per atom

Cell: 3.243 3.157 4.541 Å, 90.00 94.76 90.00°
Space group Pm (No. 6)
Asymmetric unit:
Tc  0.000  0.000  0.000 (multiplicity 1)
Sb  0.501  0.000  0.500 (multiplicity 1)
H  0.189  0.500  0.873 (multiplicity 1)
H  0.795  0.500  0.113 (multiplicity 1)

(5)
# Pm6Si2Br3Cl

Crystalline Pm6Si2Br3Cl at its relaxed geometry (PBE, the Alexandria database).

formation energy from raw total energies: -1145.9 meV/atom

Cell: 7.261 12.617 7.603 Å, 90.00 108.64 90.00°
Space group C2/m (No. 12)
Asymmetric unit:
Pm  0.226  0.000  0.208 (multiplicity 4)
Pm  0.242  0.328  0.210 (multiplicity 8)
Si  0.000  0.167  0.000 (multiplicity 4)
Br  0.000  0.000  0.500 (multiplicity 2)
Br  0.000  0.331  0.500 (multiplicity 4)
Cl  0.000  0.500  0.000 (multiplicity 2)

(6)
# SmY2Ag6

Crystalline SmY2Ag6 at its relaxed geometry (PBE, the Alexandria database).

energy of formation from the pure elements: -235 meV per atom

Cell: 9.309 16.259 5.336 Å, 90.00 90.04 90.00°
Space group C2/c (No. 15)
Asymmetric unit:
Sm  0.000  0.250  0.250 (multiplicity 4)
Y  0.250  0.085  0.500 (multiplicity 8)
Ag  0.083  0.082  0.996 (multiplicity 8)
Ag  0.083  0.417  0.996 (multiplicity 8)
Ag  0.162  0.250  0.749 (multiplicity 8)